Record 1
A plane-wave DFT calculation with GGA-PBEsol was carried out for an optimized crystal structure of ScTcAg3.

The calculation puts the volume at 22.90 Å³/atom. Its calculated density is 6.8 g/cm3. The energy above the most stable polymorph in this dataset comes out at 0.0 meV/atom. The energy relative to the elements comes out at 1.235 eV/atom.

The space group is Pm-3m (No. 221) and the conventional cell measures 4.8562, 4.8562 and 4.8562 Å, with angles of 90.00, 90.00 and 90.00 degrees. The asymmetric unit holds Sc at (0.0000, 0.0000, 0.0000), Tc at (0.5000, 0.5000, 0.5000) and Ag at (0.0000, 0.5000, 0.5000).


Record 2
A plane-wave DFT calculation with GGA-PBEsol was carried out for an optimized crystal structure of ScTc2Ag.

The calculation puts the volume at 15.64 Å³/atom. Its calculated density is 9.3 g/cm3. The energy above the most stable polymorph in this dataset comes out at 57.9 meV/atom. The energy relative to the elements comes out at 0.152 eV/atom.

The space group is P4/mmm (No. 123) and the conventional cell measures 3.7949, 3.7949 and 4.3433 Å, with angles of 90.00, 90.00 and 90.00 degrees. The asymmetric unit holds Sc at (0.0000, 0.0000, 0.0000), Tc at (0.0000, 0.5000, 0.5000) and Ag at (0.5000, 0.5000, 0.0000).


Record 3
A plane-wave DFT calculation with GGA-PBEsol was carried out for an optimized crystal structure of Sc2TcAg.

The calculation puts the volume at 18.44 Å³/atom. Its calculated density is 6.7 g/cm3. The energy above the most stable polymorph in this dataset comes out at 270.4 meV/atom. The energy relative to the elements comes out at -0.023 eV/atom.

The space group is R-3m (No. 166, hexagonal axes) and the conventional cell measures 3.1578, 3.1578 and 25.6226 Å, with angles of 90.00, 90.00 and 120.00 degrees. The asymmetric unit holds Sc at (0.0000, 0.0000, 0.2415), Tc at (0.0000, 0.0000, 0.5000) and Ag at (0.0000, 0.0000, 0.0000).


Record 4
A plane-wave DFT calculation with GGA-PBEsol was carried out for an optimized crystal structure of ScTcAg3.

The calculation puts the volume at 21.90 Å³/atom. Its calculated density is 7.1 g/cm3. The energy above the most stable polymorph in this dataset comes out at 447.3 meV/atom. The energy relative to the elements comes out at 1.682 eV/atom.

The space group is Pm-3m (No. 221) and the conventional cell measures 4.7845, 4.7845 and 4.7845 Å, with angles of 90.00, 90.00 and 90.00 degrees. The asymmetric unit holds Sc at (0.0000, 0.0000, 0.0000), Tc at (0.5000, 0.5000, 0.5000) and Ag at (0.0000, 0.0000, 0.5000).


Record 5
A plane-wave DFT calculation with GGA-PBEsol was carried out for an optimized crystal structure of ScTc2Ag.

The calculation puts the volume at 16.16 Å³/atom. Its calculated density is 9.0 g/cm3. The energy above the most stable polymorph in this dataset comes out at 0.0 meV/atom. The energy relative to the elements comes out at 0.095 eV/atom.

The space group is Pm (No. 6) and the conventional cell measures 2.8665, 3.9914 and 5.6958 Å, with angles of 90.00, 97.22 and 90.00 degrees. The asymmetric unit holds Sc at (0.0000, 0.0000, 0.0000), Tc at (0.4761, 0.5000, 0.2704), Tc at (0.8814, 0.0000, 0.4478) and Ag at (0.4385, 0.5000, 0.7426).


Record 6
A plane-wave DFT calculation with GGA-PBEsol was carried out for an optimized crystal structure of ScTc2Ag.

The calculation puts the volume at 15.76 Å³/atom. Its calculated density is 9.2 g/cm3. The energy above the most stable polymorph in this dataset comes out at 435.7 meV/atom. The energy relative to the elements comes out at 0.530 eV/atom.

The space group is Fm-3m (No. 225) and the conventional cell measures 6.3173, 6.3173 and 6.3173 Å, with angles of 90.00, 90.00 and 90.00 degrees. The asymmetric unit holds Sc at (0.0000, 0.0000, 0.0000), Tc at (0.2500, 0.2500, 0.2500) and Ag at (0.0000, 0.0000, 0.5000).